No. 1
Below is a relaxed structure of ZnBr, with properties calculated at the PBEsol level.

Cell: 5.6674 5.6674 5.6674 Å, 90.00 90.00 90.00°
Closest atoms and distances in Å follow each position.
Atoms (fractional coordinates):
Zn1 0.0000 0.0000 0.0000  6 Br 2.83
Zn2 0.0000 0.5000 0.5000  6 Br 2.83
Zn3 0.5000 0.0000 0.5000  6 Br 2.83
Zn4 0.5000 0.5000 0.0000  6 Br 2.83
Br1 0.0000 0.0000 0.5000  6 Zn 2.83
Br2 0.0000 0.5000 0.0000  6 Zn 2.83
Br3 0.5000 0.0000 0.0000  6 Zn 2.83
Br4 0.5000 0.5000 0.5000  6 Zn 2.83

The raw formation energy comes out at -0.1074 eV per atom.

No. 2
Below is a relaxed structure of FeCo6Tc, with properties calculated at the PBEsol level.

Cell: 6.0467 6.0467 9.8732 Å, 90.00 90.00 109.41°
Closest atoms and distances in Å follow each position.
Atoms (fractional coordinates):
Fe1 0.0000 0.0000 0.2472  12 Co 2.44-2.50
Fe2 0.0000 0.0000 0.7528  12 Co 2.44-2.50
Fe3 0.2502 0.7498 0.0000  12 Co 2.46-2.47
Fe4 0.7498 0.2502 0.0000  12 Co 2.46-2.47
Co1 0.0000 0.0000 0.0000  4 Fe 2.44-2.47, 8 Co 2.47
Co2 0.0000 0.0000 0.5000  8 Co 2.46, 2 Tc 2.49, 2 Fe 2.50
Co3 0.1235 0.3747 0.1244  8 Co 2.46-2.48, 3 Fe 2.46-2.47, 1 Tc 2.46
Co4 0.1235 0.3747 0.8756  8 Co 2.46-2.48, 3 Fe 2.46-2.47, 1 Tc 2.46
Co5 0.1251 0.3740 0.3755  8 Co 2.46-2.48, 3 Tc 2.46-2.49, 1 Fe 2.48
Co6 0.1251 0.3740 0.6245  8 Co 2.46-2.48, 3 Tc 2.46-2.49, 1 Fe 2.48
Co7 0.2492 0.7508 0.2496  8 Co 2.46-2.48, 2 Fe 2.46, 2 Tc 2.47-2.48
Co8 0.2492 0.7508 0.7504  8 Co 2.46-2.48, 2 Fe 2.46, 2 Tc 2.47-2.48
Co9 0.3740 0.1251 0.3755  8 Co 2.46-2.48, 3 Tc 2.46-2.49, 1 Fe 2.48
Co10 0.3740 0.1251 0.6245  8 Co 2.46-2.48, 3 Tc 2.46-2.49, 1 Fe 2.48
Co11 0.3747 0.1235 0.1244  8 Co 2.46-2.48, 3 Fe 2.46-2.47, 1 Tc 2.46
Co12 0.3747 0.1235 0.8756  8 Co 2.46-2.48, 3 Fe 2.46-2.47, 1 Tc 2.46
Co13 0.5000 0.5000 0.0000  2 Tc 2.43, 2 Fe 2.47, 8 Co 2.47
Co14 0.5000 0.5000 0.5000  4 Tc 2.44-2.50, 8 Co 2.47
Co15 0.6253 0.8765 0.1244  8 Co 2.46-2.48, 3 Fe 2.46-2.47, 1 Tc 2.46
Co16 0.6253 0.8765 0.8756  8 Co 2.46-2.48, 3 Fe 2.46-2.47, 1 Tc 2.46
Co17 0.6260 0.8749 0.3755  8 Co 2.46-2.48, 3 Tc 2.46-2.49, 1 Fe 2.48
Co18 0.6260 0.8749 0.6245  8 Co 2.46-2.48, 3 Tc 2.46-2.49, 1 Fe 2.48
Co19 0.7508 0.2492 0.2496  8 Co 2.46-2.48, 2 Fe 2.46, 2 Tc 2.47-2.48
Co20 0.7508 0.2492 0.7504  8 Co 2.46-2.48, 2 Fe 2.46, 2 Tc 2.47-2.48
Co21 0.8749 0.6260 0.3755  8 Co 2.46-2.48, 3 Tc 2.46-2.49, 1 Fe 2.48
Co22 0.8749 0.6260 0.6245  8 Co 2.46-2.48, 3 Tc 2.46-2.49, 1 Fe 2.48
Co23 0.8765 0.6253 0.1244  8 Co 2.46-2.48, 3 Fe 2.46-2.47, 1 Tc 2.46
Co24 0.8765 0.6253 0.8756  8 Co 2.46-2.48, 3 Fe 2.46-2.47, 1 Tc 2.46
Tc1 0.2525 0.7475 0.5000  12 Co 2.44-2.49
Tc2 0.5000 0.5000 0.2465  12 Co 2.43-2.50
Tc3 0.5000 0.5000 0.7535  12 Co 2.43-2.50
Tc4 0.7475 0.2525 0.5000  12 Co 2.44-2.49

The value obtained for the electronic total energy is -8.288 eV per atom.

No. 3
Below is a relaxed structure of LaHg5, with properties calculated at the PBEsol level.

Cell: 3.7922 3.7922 10.1109 Å, 90.00 90.00 90.00°
Closest atoms and distances in Å follow each position.
Atoms (fractional coordinates):
La1 0.0000 0.0000 0.0000  10 Hg 3.29-3.44
Hg1 0.0000 0.0000 0.3405  9 Hg 3.09-3.23, 1 La 3.44
Hg2 0.0000 0.0000 0.6595  9 Hg 3.09-3.23, 1 La 3.44
Hg3 0.5000 0.5000 0.1888  5 Hg 3.09-3.15, 4 La 3.29
Hg4 0.5000 0.5000 0.5000  10 Hg 3.13-3.15
Hg5 0.5000 0.5000 0.8112  5 Hg 3.09-3.15, 4 La 3.29

The value obtained for the electronic total energy is -1.627 eV per atom.

No. 4
Below is a relaxed structure of ZrTa2Cd, with properties calculated at the PBEsol level.

Cell: 3.4866 3.4866 6.2149 Å, 90.00 90.00 90.00°
Closest atoms and distances in Å follow each position.
Atoms (fractional coordinates):
Zr1 0.0000 0.0000 0.0000  8 Ta 2.89, 2 Cd 3.11
Ta1 0.5000 0.5000 0.2429  4 Zr 2.89, 4 Cd 2.94, 2 Ta 3.02-3.20
Ta2 0.5000 0.5000 0.7571  4 Zr 2.89, 4 Cd 2.94, 2 Ta 3.02-3.20
Cd1 0.0000 0.0000 0.5000  8 Ta 2.94, 2 Zr 3.11

The value obtained for the electronic total energy is -8.560 eV per atom.